[1]
Below is a relaxed UTcPH2 crystal, with properties calculated at the PBE level.

Values from the calculation:
SG: Cmcm, No. 63
Theoretical density (Mg/m³): 10.75
VASP energy (eV per atom): -7.232

abc: 3.851 5.471 5.784
angles: 90.00 90.00 110.61
Last column: magnetic moment on the atom in μB.
Atoms (fractional coordinates):
P 0.580 0.159 0.250  -0.03
H 0.829 0.659 0.433  -0.01
Tc 0.000 0.000 0.000  -0.07
H 0.829 0.659 0.067  -0.01
U 0.707 0.413 0.750  2.04
Tc 0.000 0.000 0.500  -0.07
H 0.171 0.341 0.567  -0.01
U 0.293 0.587 0.250  2.04
P 0.420 0.841 0.750  -0.03
H 0.171 0.341 0.933  -0.01


[2]
Below is a relaxed Sr2CdSnPt crystal, with properties calculated at the PBE level.

Values from the calculation:
SG: P4/mmm, No. 123
Theoretical density (Mg/m³): 5.60
VASP energy (eV per atom): -3.369

abc: 5.941 5.941 5.053
angles: 90.00 90.00 90.00
Atoms (fractional coordinates):
Sr 0.000 0.500 0.000
Sn 0.000 0.000 0.500
Pt 0.000 0.000 0.000
Sr 0.500 0.000 0.000
Cd 0.500 0.500 0.500


[3]
Below is a relaxed RbAuSe3 crystal, with properties calculated at the PBE level.

Values from the calculation:
SG: Pm-3m, No. 221
Theoretical density (Mg/m³): 3.47
Formation energy without anion corrections (eV per atom): 1.293
VASP energy (eV per atom): -1.647

abc: 6.287 6.287 6.287
angles: 90.00 90.00 90.00
Last column: magnetic moment on the atom in μB.
Atoms (fractional coordinates):
Se 0.000 0.500 0.000  0.86
Rb 0.000 0.000 0.000  0.04
Se 0.500 0.000 0.000  0.80
Se 0.000 0.000 0.500  0.97
Au 0.500 0.500 0.500  -0.13


[4]
Below is a relaxed HoTmCu crystal, with properties calculated at the PBE level.

Values from the calculation:
SG: Pnma, No. 62
Theoretical density (Mg/m³): 9.25
Energy above the lowest structure with this stoichiometry (kcal/mol of atoms): 0.00
VASP energy (eV per atom): -4.563

abc: 4.845 8.594 6.857
angles: 90.00 90.00 90.00
Atoms (fractional coordinates):
Cu 0.250 0.400 0.757
Ho 0.750 0.175 0.516
Cu 0.750 0.600 0.243
Cu 0.750 0.900 0.743
Ho 0.250 0.825 0.484
Ho 0.750 0.325 0.016
Tm 0.750 0.917 0.144
Cu 0.250 0.100 0.257
Ho 0.250 0.675 0.984
Tm 0.750 0.583 0.644
Tm 0.250 0.417 0.356
Tm 0.250 0.083 0.856